No. 1
First-principles (PBE) data for an optimized crystal structure of BeAlW, as listed in OQMD via LeMat-Bulk.

The space group is F-43m (No. 216) and the conventional cell measures 5.760, 5.760 and 5.760 Å, with angles of 90.00, 90.00 and 90.00 degrees. The inequivalent atoms are Be at (0.000, 0.000, 0.000), Al at (0.250, 0.250, 0.250) and W at (0.000, 0.000, 0.500).

The value obtained for the calculated total energy is -69.56 eV for the cell shown. As for the volume: 191.1 Å³/cell. For the offset from the most stable computed form, the calculation gives 0.000 kcal/mol of atoms.

=====

No. 2
First-principles (PBE) data for an optimized crystal structure of Be2AlZn, as listed in OQMD via LeMat-Bulk.

The space group is F-43m (No. 216) and the conventional cell measures 5.821, 5.821 and 5.821 Å, with angles of 90.00, 90.00 and 90.00 degrees. The inequivalent atoms are Be at (0.000, 0.000, 0.000), Be at (0.250, 0.250, 0.250), Al at (0.250, 0.250, 0.750) and Zn at (0.000, 0.000, 0.500).

The value obtained for the calculated total energy is -43.68 eV for the cell shown. As for the volume: 197.2 Å³/cell.

=====

No. 3
First-principles (PBE) data for an optimized crystal structure of BeAl2Zn, as listed in OQMD via LeMat-Bulk.

The space group is F-43m (No. 216) and the conventional cell measures 6.163, 6.163 and 6.163 Å, with angles of 90.00, 90.00 and 90.00 degrees. The inequivalent atoms are Be at (0.000, 0.000, 0.000), Al at (0.000, 0.000, 0.500), Al at (0.250, 0.250, 0.750) and Zn at (0.250, 0.250, 0.250).

The value obtained for the calculated total energy is -45.03 eV for the cell shown. As for the volume: 234.1 Å³/cell.

=====

No. 4
First-principles (PBE) data for an optimized crystal structure of BeAlZn2, as listed in OQMD via LeMat-Bulk.

The space group is F-43m (No. 216) and the conventional cell measures 6.065, 6.065 and 6.065 Å, with angles of 90.00, 90.00 and 90.00 degrees. The inequivalent atoms are Be at (0.000, 0.000, 0.000), Al at (0.250, 0.250, 0.250), Zn at (0.000, 0.000, 0.500) and Zn at (0.250, 0.250, 0.750).

The value obtained for the calculated total energy is -35.42 eV for the cell shown. As for the volume: 223.0 Å³/cell.

=====

No. 5
First-principles (PBE) data for an optimized crystal structure of ZrBe2Al, as listed in OQMD via LeMat-Bulk.

The space group is F-43m (No. 216) and the conventional cell measures 6.099, 6.099 and 6.099 Å, with angles of 90.00, 90.00 and 90.00 degrees. The inequivalent atoms are Zr at (0.000, 0.000, 0.000), Be at (0.000, 0.000, 0.500), Be at (0.250, 0.250, 0.250) and Al at (0.250, 0.250, 0.750).

The value obtained for the calculated total energy is -76.18 eV for the cell shown. As for the volume: 226.9 Å³/cell.

=====

No. 6
First-principles (PBE) data for an optimized crystal structure of Lu4AlBiC2, as listed in OQMD via LeMat-Bulk.

The space group is P-6m2 (No. 187) and the conventional cell measures 3.5375, 3.5375 and 15.3719 Å, with angles of 90.00, 90.00 and 120.00 degrees. The inequivalent atoms are Lu at (0.0000, 0.0000, 0.1609), Lu at (0.3333, 0.6667, 0.3293), Al at (0.3333, 0.6667, 0.0000), Bi at (0.0000, 0.0000, 0.5000) and C at (0.6667, 0.3333, 0.2505).

The value obtained for the calculated total energy is -48.21 eV for the cell shown. As for the volume: 166.6 Å³/cell.

=====

No. 7
First-principles (PBE) data for an optimized crystal structure of AlBiMo4C2, as listed in OQMD via LeMat-Bulk.

The space group is P-6m2 (No. 187) and the conventional cell measures 3.1644, 3.1644 and 13.6627 Å, with angles of 90.00, 90.00 and 120.00 degrees. The inequivalent atoms are Al at (0.0000, 0.0000, 0.0000), Bi at (0.3333, 0.6667, 0.5000), Mo at (0.0000, 0.0000, 0.3166), Mo at (0.3333, 0.6667, 0.1539) and C at (0.6667, 0.3333, 0.2391).

The value obtained for the calculated total energy is -68.98 eV for the cell shown. As for the volume: 118.5 Å³/cell.

=====

No. 8
First-principles (PBE) data for an optimized crystal structure of Nb4AlBiC2, as listed in OQMD via LeMat-Bulk.

The space group is P-6m2 (No. 187) and the conventional cell measures 3.2572, 3.2572 and 13.8379 Å, with angles of 90.00, 90.00 and 120.00 degrees. The inequivalent atoms are Nb at (0.0000, 0.0000, 0.1572), Nb at (0.3333, 0.6667, 0.3256), Al at (0.3333, 0.6667, 0.0000), Bi at (0.0000, 0.0000, 0.5000) and C at (0.6667, 0.3333, 0.2425).

The value obtained for the calculated total energy is -69.20 eV for the cell shown. As for the volume: 127.1 Å³/cell.

=====

No. 9
First-principles (PBE) data for an optimized crystal structure of AlBiW4C2, as listed in OQMD via LeMat-Bulk.

The space group is P-6m2 (No. 187) and the conventional cell measures 3.1389, 3.1389 and 14.0512 Å, with angles of 90.00, 90.00 and 120.00 degrees. The inequivalent atoms are Al at (0.0000, 0.0000, 0.0000), Bi at (0.3333, 0.6667, 0.5000), W at (0.0000, 0.0000, 0.3109), W at (0.3333, 0.6667, 0.1495) and C at (0.6667, 0.3333, 0.2336).

The value obtained for the calculated total energy is -75.59 eV for the cell shown. As for the volume: 119.9 Å³/cell.

=====

No. 10
First-principles (PBE) data for an optimized crystal structure of Zr4AlBiC2, as listed in OQMD via LeMat-Bulk.

The space group is P-6m2 (No. 187) and the conventional cell measures 3.3930, 3.3930 and 14.6058 Å, with angles of 90.00, 90.00 and 120.00 degrees. The inequivalent atoms are Zr at (0.0000, 0.0000, 0.1606), Zr at (0.3333, 0.6667, 0.3306), Al at (0.3333, 0.6667, 0.0000), Bi at (0.0000, 0.0000, 0.5000) and C at (0.6667, 0.3333, 0.2465).

The value obtained for the calculated total energy is -65.56 eV for the cell shown. As for the volume: 145.6 Å³/cell.

=====

No. 11
First-principles (PBE) data for an optimized crystal structure of Al2CdBi, as listed in OQMD via LeMat-Bulk.

The space group is F-43m (No. 216) and the conventional cell measures 7.217, 7.217 and 7.217 Å, with angles of 90.00, 90.00 and 90.00 degrees. The inequivalent atoms are Al at (0.000, 0.000, 0.000), Al at (0.250, 0.250, 0.250), Cd at (0.250, 0.250, 0.750) and Bi at (0.000, 0.000, 0.500).

The value obtained for the calculated total energy is -45.20 eV for the cell shown. As for the volume: 375.9 Å³/cell.

=====

No. 12
First-principles (PBE) data for an optimized crystal structure of AlCdBi, as listed in OQMD via LeMat-Bulk.

The space group is F-43m (No. 216) and the conventional cell measures 6.886, 6.886 and 6.886 Å, with angles of 90.00, 90.00 and 90.00 degrees. The inequivalent atoms are Al at (0.000, 0.000, 0.000), Cd at (0.250, 0.250, 0.250) and Bi at (0.250, 0.250, 0.750).

The value obtained for the calculated total energy is -33.14 eV for the cell shown. As for the volume: 326.5 Å³/cell. For the offset from the most stable computed form, the calculation gives 0.000 kcal/mol of atoms.